(1)
The following is a DFT calculation (GGA-PBE) of a relaxed structure of PuOsPb.

```
PuOsPb
1.0
0.432 3.081 3.556
-2.584 -0.538 3.919
2.073 -1.324 4.034
Os Pb Pu
1 1 1
direct
0.750 0.750 0.750 Os
0.250 0.250 0.250 Pb
0.000 0.000 0.000 Pu
```

Values from the calculation:
space-group type	F-43m
volume	74.57	Å³/cell
total DFT energy (no corrections)	-8.739	eV/atom
crystal system	cubic
mass density	14.284	Mg/m³

(2)
The following is a DFT calculation (GGA-PBE) of a relaxed structure of PuOsPb.

```
PuOsPb
1.0
0.000 3.191 3.191
3.191 0.000 3.191
3.191 3.191 0.000
Os Pb Pu
1 1 1
direct
0.250 0.250 0.250 Os
0.000 0.000 0.000 Pb
0.750 0.750 0.750 Pu
```

Values from the calculation:
space-group type	F-43m
volume	64.99	Å³/cell
total DFT energy (no corrections)	-8.490	eV/atom
crystal system	cubic
mass density	16.388	Mg/m³

(3)
The following is a DFT calculation (GGA-PBE) of a relaxed structure of RbOsPb.

```
RbOsPb
1.0
-0.006 -4.918 0.193
-4.109 -2.409 1.237
-2.448 -2.593 -3.392
Os Pb Rb
1 1 1
direct
0.000 0.000 0.000 Os
0.250 0.250 0.250 Pb
0.750 0.750 0.750 Rb
```

Values from the calculation:
energy above the lowest structure with this stoichiometry	3.815	kcal/mol of atoms
space-group type	F-43m
volume	84.28	Å³/cell
total DFT energy (no corrections)	-3.904	eV/atom
crystal system	cubic
mass density	9.514	Mg/m³

(4)
The following is a DFT calculation (GGA-PBE) of a relaxed structure of RbOsPb.

```
RbOsPb
1.0
-7.609 0.321 4.149
2.045 -6.945 -4.776
2.062 -2.106 3.945
Os Pb Rb
3 3 3
direct
0.171 0.000 0.000 Os
0.000 0.171 0.000 Os
0.829 0.829 0.000 Os
0.357 0.000 0.500 Pb
0.000 0.357 0.500 Pb
0.643 0.643 0.500 Pb
0.667 0.333 0.000 Rb
0.333 0.667 0.000 Rb
0.000 0.000 0.500 Rb
```

Values from the calculation:
energy above the lowest structure with this stoichiometry	0.000	kcal/mol of atoms
space-group type	P-62m
volume	320.80	Å³/cell
total DFT energy (no corrections)	-4.069	eV/atom
crystal system	hexagonal
mass density	7.499	Mg/m³